(1)
## Ag2I2O (PBE)

Data for a relaxed structure of Ag2I2O.

Results
E_form (uncorrected) in eV/atom: 0.534
Space group: I4/mmm

Cell: 8.0846 8.0846 8.0846 Å, 150.32 150.32 42.47°
Last column: nearest neighbours and their distance in Å.
Positions (direct):
Ag: 0.2500 0.7500 0.5000  4 I 2.90, 4 Ag 2.93
Ag: 0.7500 0.2500 0.5000  4 I 2.90, 4 Ag 2.93
I: 0.1157 0.1157 0.0000  4 Ag 2.90
I: 0.8843 0.8843 0.0000  4 Ag 2.90
O: 0.5000 0.5000 0.0000  8 I 3.41

(2)
## CdFeHg2 (PBE)

Data for a relaxed structure of CdFeHg2.

Results
Formation energy from the elements in eV/atom: 0.28
Space group: Imm2

Cell: 6.7661 6.7661 6.7661 Å, 154.86 139.55 48.23°
Last column: nearest neighbours and their distance in Å.
Positions (direct):
Cd: 0.0000 0.0000 0.0000  2 Fe 2.79, 2 Cd 2.95, 4 Hg 3.12
Fe: 0.1921 0.6921 0.5000  6 Hg 2.77-2.78, 2 Cd 2.79, 2 Fe 2.95
Hg: 0.3831 0.3831 0.0000  2 Fe 2.78, 2 Hg 2.95
Hg: 0.6842 0.1842 0.5000  4 Fe 2.77, 2 Hg 2.95

(3)
## AcGaSn2 (PBE)

Data for a relaxed structure of AcGaSn2.

Results
Formation energy from the elements in eV/atom: -0.18
Space group: Fm-3m

Cell: 5.5320 5.5320 5.5320 Å, 60.00 60.00 60.00°
Last column: nearest neighbours and their distance in Å.
Positions (direct):
Ac: 0.0000 0.0000 0.0000  8 Sn 3.39
Ga: 0.5000 0.5000 0.5000  8 Sn 3.39
Sn: 0.2500 0.2500 0.2500  4 Ac 3.39, 4 Ga 3.39
Sn: 0.7500 0.7500 0.7500  4 Ga 3.39, 4 Ac 3.39

(4)
## Al2AuBr (PBE)

Data for a relaxed structure of Al2AuBr.

Results
E_form (uncorrected) in eV/atom: -0.156
Space group: R3m

Cell: 8.4948 8.4948 8.4948 Å, 24.31 24.31 24.31°
Last column: nearest neighbours and their distance in Å.
Positions (direct):
Al: 0.0000 0.0000 0.0000  3 Br 2.71, 3 Al 2.81
Al: 0.2564 0.2564 0.2564  3 Au 2.51, 3 Al 2.81
Au: 0.5319 0.5319 0.5319  3 Al 2.51
Br: 0.7374 0.7374 0.7374  3 Al 2.71

(5)
## AcLa2Ga2 (PBE)

Data for a relaxed structure of AcLa2Ga2.

Results
Formation energy from the elements in eV/atom: -0.44
Space group: Cmcm

Cell: 14.5553 14.5553 4.5620 Å, 90.00 90.00 161.44°
Last column: nearest neighbours and their distance in Å.
Positions (direct):
Ac: 0.1376 0.8624 0.7500  5 Ga 3.21-3.39
Ac: 0.8624 0.1376 0.2500  5 Ga 3.21-3.39
La: 0.2596 0.7404 0.2500  2 Ga 3.08, 4 La 3.32
La: 0.4459 0.5541 0.7500  7 Ga 3.28-3.37
La: 0.5541 0.4459 0.2500  7 Ga 3.28-3.37
La: 0.7404 0.2596 0.7500  2 Ga 3.08, 4 La 3.32
Ga: 0.0259 0.9741 0.7500  2 Ga 2.72
Ga: 0.3316 0.6684 0.7500  3 La 3.08-3.28, 4 Ac 3.39
Ga: 0.6684 0.3316 0.2500  3 La 3.08-3.28, 4 Ac 3.39
Ga: 0.9741 0.0259 0.2500  2 Ga 2.72

(6)
## Pr2ErPb2 (PBE)

Data for a relaxed structure of Pr2ErPb2.

Results
Formation energy from the elements in eV/atom: -0.35
Space group: Ibam

Cell: 8.2760 8.2760 8.2760 Å, 119.57 80.40 132.32°
Last column: nearest neighbours and their distance in Å.
Positions (direct):
Pr: 0.1457 0.1509 0.2966  5 Pb 3.19-3.44
Pr: 0.3543 0.6509 0.0052  5 Pb 3.19-3.44
Pr: 0.6457 0.3491 0.9948  5 Pb 3.19-3.44
Pr: 0.8543 0.8491 0.7034  5 Pb 3.19-3.44
Er: 0.2500 0.7500 0.5000  4 Pb 3.12, 2 Er 3.35
Er: 0.7500 0.2500 0.5000  4 Pb 3.12, 2 Er 3.35
Pb: 0.1133 0.7645 0.8778  2 Er 3.12, 5 Pr 3.19-3.44
Pb: 0.3867 0.2645 0.6512  2 Er 3.12, 5 Pr 3.19-3.44
Pb: 0.6133 0.7355 0.3488  2 Er 3.12, 5 Pr 3.19-3.44
Pb: 0.8867 0.2355 0.1222  2 Er 3.12, 5 Pr 3.19-3.44

(7)
## Er5Al2Ga2 (PBE)

Data for a relaxed structure of Er5Al2Ga2.

Results
Formation energy from the elements in eV/atom: -0.41
Space group: Cmce

Cell: 8.6542 8.6542 7.3743 Å, 90.00 90.00 54.62°
Last column: nearest neighbours and their distance in Å.
Positions (direct):
Er: 0.0000 0.0000 0.0000  4 Al 3.00-3.11, 2 Ga 3.20
Er: 0.0425 0.6726 0.6696  3 Ga 2.97-3.02, 3 Al 3.08-3.31
Er: 0.1726 0.5425 0.1696  3 Ga 2.97-3.02, 3 Al 3.08-3.31
Er: 0.3274 0.9575 0.6696  3 Ga 2.97-3.02, 3 Al 3.08-3.31
Er: 0.4575 0.8274 0.1696  3 Ga 2.97-3.02, 3 Al 3.08-3.31
Er: 0.5000 0.5000 0.5000  4 Al 3.00-3.11, 2 Ga 3.20
Er: 0.5425 0.1726 0.8304  3 Ga 2.97-3.02, 3 Al 3.08-3.31
Er: 0.6726 0.0425 0.3304  3 Ga 2.97-3.02, 3 Al 3.08-3.31
Er: 0.8274 0.4575 0.8304  3 Ga 2.97-3.02, 3 Al 3.08-3.31
Er: 0.9575 0.3274 0.3304  3 Ga 2.97-3.02, 3 Al 3.08-3.31
Al: 0.1234 0.8766 0.3841  1 Al 2.60
Al: 0.3766 0.6234 0.8841  1 Al 2.60
Al: 0.6234 0.3766 0.1159  1 Al 2.60
Al: 0.8766 0.1234 0.6159  1 Al 2.60
Ga: 0.2080 0.2080 0.0000  7 Er 2.97-3.20
Ga: 0.2920 0.2920 0.5000  7 Er 2.97-3.20
Ga: 0.7080 0.7080 0.5000  7 Er 2.97-3.20
Ga: 0.7920 0.7920 0.0000  7 Er 2.97-3.20

(8)
## ZrNi2HOs (PBE)

Data for a relaxed structure of ZrNi2HOs.

Results
Space group: P4/mmm

Cell: 3.8788 3.8788 3.9169 Å, 90.00 90.00 90.00°
Last column: nearest neighbours and their distance in Å.
Positions (direct):
Zr: 0.0000 0.0000 0.0000  4 Os 2.74, 8 Ni 2.76
Ni: 0.0000 0.5000 0.5000  2 H 1.94
Ni: 0.5000 0.0000 0.5000  2 H 1.94
H: 0.5000 0.5000 0.5000  4 Ni 1.94, 2 Os 1.96
Os: 0.5000 0.5000 0.0000  2 H 1.96

(9)
## Ba3HfAu2S6 (PBE)

Data for a relaxed structure of Ba3HfAu2S6.

Results
E_form (uncorrected) in eV/atom: -1.183
Space group: P-3m1

Cell: 7.4099 7.4099 7.7776 Å, 90.00 90.00 120.00°
Last column: nearest neighbours and their distance in Å.
Positions (direct):
Ba: 0.0000 0.0000 0.0000  6 S 3.13
Ba: 0.3333 0.6667 0.6205  3 S 3.32, 1 Au 3.39
Ba: 0.6667 0.3333 0.3795  3 S 3.32, 1 Au 3.39
Hf: 0.0000 0.0000 0.5000  6 S 2.53
Au: 0.3333 0.6667 0.1841  3 S 2.44
Au: 0.6667 0.3333 0.8159  3 S 2.44
S: 0.1581 0.3163 0.3056  1 Au 2.44, 1 Hf 2.53
S: 0.1581 0.8419 0.3056  1 Au 2.44, 1 Hf 2.53
S: 0.3163 0.1581 0.6944  1 Au 2.44, 1 Hf 2.53
S: 0.6837 0.8419 0.3056  1 Au 2.44, 1 Hf 2.53
S: 0.8419 0.1581 0.6944  1 Au 2.44, 1 Hf 2.53
S: 0.8419 0.6837 0.6944  1 Au 2.44, 1 Hf 2.53

(10)
## Y6HoTh (PBE)

Data for a relaxed structure of Y6HoTh.

Results
Formation energy from the elements in eV/atom: 0.04
Space group: P4/mmm

Cell: 5.0612 5.0612 10.0505 Å, 90.00 90.00 90.00°
Last column: nearest neighbours and their distance in Å.
Positions (direct):
Y: 0.0000 0.0000 0.0000  8 Y 3.55, 4 Th 3.58
Y: 0.0000 0.0000 0.5000  4 Ho 3.58, 8 Y 3.58
Y: 0.0000 0.5000 0.2481  2 Th 3.55, 8 Y 3.55-3.58, 2 Ho 3.58
Y: 0.0000 0.5000 0.7519  2 Th 3.55, 8 Y 3.55-3.58, 2 Ho 3.58
Y: 0.5000 0.0000 0.2481  2 Th 3.55, 8 Y 3.55-3.58, 2 Ho 3.58
Y: 0.5000 0.0000 0.7519  2 Th 3.55, 8 Y 3.55-3.58, 2 Ho 3.58
Ho: 0.5000 0.5000 0.5000  12 Y 3.58
Th: 0.5000 0.5000 0.0000  12 Y 3.55-3.58

(11)
## NaTb2Th3Te6 (PBE)

Data for a relaxed structure of NaTb2Th3Te6.

Results
E_form (uncorrected) in eV/atom: -1.138
Space group: C2/m

Cell: 10.1771 10.1771 9.2892 Å, 109.50 109.50 24.04°
Last column: nearest neighbours and their distance in Å.
Positions (direct):
Na: 0.0000 0.0000 0.0000  6 Te 3.04-3.09
Tb: 0.3314 0.3314 0.6625  6 Te 3.07-3.12
Tb: 0.6686 0.6686 0.3375  6 Te 3.07-3.12
Th: 0.0000 0.0000 0.5000  6 Te 3.18-3.19
Th: 0.3315 0.3315 0.1632  6 Te 3.20-3.23
Th: 0.6685 0.6685 0.8368  6 Te 3.20-3.23
Te: 0.1619 0.1619 0.0904  1 Na 3.04, 2 Tb 3.09, 3 Th 3.21
Te: 0.1684 0.1684 0.5785  3 Tb 3.07-3.08, 3 Th 3.18-3.20
Te: 0.4974 0.4974 0.7554  2 Na 3.09, 1 Tb 3.12, 3 Th 3.19-3.23
Te: 0.5026 0.5026 0.2446  2 Na 3.09, 1 Tb 3.12, 3 Th 3.19-3.23
Te: 0.8316 0.8316 0.4215  3 Tb 3.07-3.08, 3 Th 3.18-3.20
Te: 0.8381 0.8381 0.9096  1 Na 3.04, 2 Tb 3.09, 3 Th 3.21

(12)
## Y4ReHg (PBE)

Data for a relaxed structure of Y4ReHg.

Results
Formation energy from the elements in eV/atom: 0.83
Space group: F-43m

Cell: 5.9909 5.9909 5.9909 Å, 60.00 60.00 60.00°
Last column: nearest neighbours and their distance in Å.
Positions (direct):
Y: 0.3766 0.3766 0.3766  6 Y 2.96-3.03
Y: 0.3766 0.3766 0.8702  6 Y 2.96-3.03
Y: 0.3766 0.8702 0.3766  6 Y 2.96-3.03
Y: 0.8702 0.3766 0.3766  6 Y 2.96-3.03
Re: 0.7500 0.7500 0.7500  12 Y 3.51, 4 Hg 3.67
Hg: 0.0000 0.0000 0.0000  12 Y 3.52, 4 Re 3.67

(13)
## Tm4C2Se (PBE)

Data for a relaxed structure of Tm4C2Se.

Results
E_form (uncorrected) in eV/atom: -0.811
Space group: R-3m

Cell: 12.7819 12.7819 12.7819 Å, 16.35 16.35 16.35°
Last column: nearest neighbours and their distance in Å.
Positions (direct):
Tm: 0.1199 0.1199 0.1199  3 C 2.44
Tm: 0.2824 0.2824 0.2824  3 C 2.51
Tm: 0.7176 0.7176 0.7176  3 C 2.51
Tm: 0.8801 0.8801 0.8801  3 C 2.44
C: 0.4204 0.4204 0.4204  6 Tm 2.44-2.51
C: 0.5796 0.5796 0.5796  6 Tm 2.44-2.51
Se: 0.0000 0.0000 0.0000  6 Tm 2.85

(14)
## As3C (PBE)

Data for a relaxed structure of As3C.

Results
Formation energy from the elements in eV/atom: 0.65
Space group: Pnma

Cell: 8.5811 9.0247 4.0460 Å, 90.00 90.00 90.00°
Last column: nearest neighbours and their distance in Å.
Positions (direct):
As: 0.0172 0.2500 0.0641  1 C 1.90
As: 0.1732 0.5717 0.2654  1 C 1.92
As: 0.1732 0.9283 0.2654  1 C 1.92
As: 0.3268 0.0717 0.7654  1 C 1.92
As: 0.3268 0.4283 0.7654  1 C 1.92
As: 0.4828 0.7500 0.5641  1 C 1.90
As: 0.5172 0.2500 0.4359  1 C 1.90
As: 0.6732 0.5717 0.2346  1 C 1.92
As: 0.6732 0.9283 0.2346  1 C 1.92
As: 0.8268 0.0717 0.7346  1 C 1.92
As: 0.8268 0.4283 0.7346  1 C 1.92
As: 0.9828 0.7500 0.9359  1 C 1.90
C: 0.2105 0.2500 0.8369  3 As 1.90-1.92
C: 0.2895 0.7500 0.3369  3 As 1.90-1.92
C: 0.7105 0.2500 0.6631  3 As 1.90-1.92
C: 0.7895 0.7500 0.1631  3 As 1.90-1.92

(15)
## La4AsRu (PBE)

Data for a relaxed structure of La4AsRu.

Results
Formation energy from the elements in eV/atom: 0.52
Space group: F-43m

Cell: 6.1821 6.1821 6.1821 Å, 60.00 60.00 60.00°
Last column: nearest neighbours and their distance in Å.
Positions (direct):
La: 0.1248 0.1248 0.1248  6 La 3.09-3.10
La: 0.1248 0.1248 0.6256  6 La 3.09-3.10
La: 0.1248 0.6256 0.1248  6 La 3.09-3.10
La: 0.6256 0.1248 0.1248  6 La 3.09-3.10
As: 0.5000 0.5000 0.5000  12 La 3.63, 4 Ru 3.79
Ru: 0.7500 0.7500 0.7500  12 La 3.62, 4 As 3.79

(16)
## Tb5Mg24 (PBE)

Data for a relaxed structure of Tb5Mg24.

Results
Formation energy from the elements in eV/atom: -0.05
Space group: I-43m

Cell: 9.7763 9.7763 9.7763 Å, 109.47 109.47 109.47°
Last column: nearest neighbours and their distance in Å.
Positions (direct):
Tb: 0.0000 0.0000 0.0000  12 Mg 3.48, 4 Tb 3.69
Tb: 0.0000 0.0000 0.3774  12 Mg 3.23-3.55
Tb: 0.0000 0.3774 0.0000  12 Mg 3.23-3.55
Tb: 0.3774 0.0000 0.0000  12 Mg 3.23-3.55
Tb: 0.6226 0.6226 0.6226  12 Mg 3.23-3.55
Mg: 0.0000 0.3243 0.6120  3 Mg 2.96-3.19, 1 Tb 3.23
Mg: 0.0000 0.6120 0.3243  3 Mg 2.96-3.19, 1 Tb 3.23
Mg: 0.0000 0.6296 0.8089  6 Mg 2.86-3.19
Mg: 0.0000 0.8089 0.6296  6 Mg 2.86-3.19
Mg: 0.1793 0.3704 0.3704  6 Mg 2.86-3.19
Mg: 0.1911 0.1911 0.8207  6 Mg 2.86-3.19
Mg: 0.1911 0.8207 0.1911  6 Mg 2.86-3.19
Mg: 0.2877 0.6757 0.6757  3 Mg 2.96-3.19, 1 Tb 3.23
Mg: 0.3243 0.0000 0.6120  3 Mg 2.96-3.19, 1 Tb 3.23
Mg: 0.3243 0.6120 0.0000  3 Mg 2.96-3.19, 1 Tb 3.23
Mg: 0.3704 0.1793 0.3704  6 Mg 2.86-3.19
Mg: 0.3704 0.3704 0.1793  6 Mg 2.86-3.19
Mg: 0.3880 0.3880 0.7123  3 Mg 2.96-3.19, 1 Tb 3.23
Mg: 0.3880 0.7123 0.3880  3 Mg 2.96-3.19, 1 Tb 3.23
Mg: 0.6120 0.0000 0.3243  3 Mg 2.96-3.19, 1 Tb 3.23
Mg: 0.6120 0.3243 0.0000  3 Mg 2.96-3.19, 1 Tb 3.23
Mg: 0.6296 0.0000 0.8089  6 Mg 2.86-3.19
Mg: 0.6296 0.8089 0.0000  6 Mg 2.86-3.19
Mg: 0.6757 0.2877 0.6757  3 Mg 2.96-3.19, 1 Tb 3.23
Mg: 0.6757 0.6757 0.2877  3 Mg 2.96-3.19, 1 Tb 3.23
Mg: 0.7123 0.3880 0.3880  3 Mg 2.96-3.19, 1 Tb 3.23
Mg: 0.8089 0.0000 0.6296  6 Mg 2.86-3.19
Mg: 0.8089 0.6296 0.0000  6 Mg 2.86-3.19
Mg: 0.8207 0.1911 0.1911  6 Mg 2.86-3.19

(17)
## TbPuHgPd (PBE)

Data for a relaxed structure of TbPuHgPd.

Results
Formation energy from the elements in eV/atom: -0.39
Space group: F-43m

Cell: 5.1573 5.1573 5.1573 Å, 60.00 60.00 60.00°
Last column: nearest neighbours and their distance in Å.
Positions (direct):
Tb: 0.0000 0.0000 0.0000  4 Hg 3.16, 4 Pd 3.16
Pu: 0.5000 0.5000 0.5000  4 Hg 3.16, 4 Pd 3.16
Hg: 0.7500 0.7500 0.7500  4 Tb 3.16, 4 Pu 3.16
Pd: 0.2500 0.2500 0.2500  4 Tb 3.16, 4 Pu 3.16

(18)
## SrAg2AsSe4 (PBE)

Data for a relaxed structure of SrAg2AsSe4.

Results
E_form (uncorrected) in eV/atom: -0.452
Space group: C2/c

Cell: 7.9136 7.9136 8.1292 Å, 115.71 115.71 89.70°
Last column: nearest neighbours and their distance in Å.
Positions (direct):
Sr: 0.0000 0.5000 0.0000  6 Se 3.01-3.09
Sr: 0.5000 0.0000 0.5000  6 Se 3.01-3.09
Ag: 0.0000 0.0000 0.0000  4 Se 2.78-2.87
Ag: 0.0000 0.0000 0.5000  4 Se 2.78-2.87
Ag: 0.0000 0.5000 0.5000  4 Se 2.60-2.63
Ag: 0.5000 0.0000 0.0000  4 Se 2.60-2.63
As: 0.5000 0.5000 0.0000  6 Se 2.78-2.83
As: 0.5000 0.5000 0.5000  6 Se 2.78-2.83
Se: 0.2213 0.7242 0.4796  2 Ag 2.60-2.78, 1 As 2.82
Se: 0.2657 0.3024 0.5720  2 Ag 2.63-2.87, 2 As 2.78-2.83
Se: 0.2758 0.7787 0.0204  2 Ag 2.60-2.78, 1 As 2.82
Se: 0.3024 0.2657 0.0720  2 Ag 2.63-2.87, 2 As 2.78-2.83
Se: 0.6976 0.7343 0.9280  2 Ag 2.63-2.87, 2 As 2.78-2.83
Se: 0.7242 0.2213 0.9796  2 Ag 2.60-2.78, 1 As 2.82
Se: 0.7343 0.6976 0.4280  2 Ag 2.63-2.87, 2 As 2.78-2.83
Se: 0.7787 0.2758 0.5204  2 Ag 2.60-2.78, 1 As 2.82

(19)
## DyTc2Ge3 (PBE)

Data for a relaxed structure of DyTc2Ge3.

Results
Formation energy from the elements in eV/atom: -0.35
Space group: Cmcm

Cell: 6.1987 6.1987 8.5830 Å, 90.00 90.00 138.52°
Last column: nearest neighbours and their distance in Å.
Positions (direct):
Dy: 0.1820 0.8180 0.7500  6 Ge 2.97-3.06, 3 Tc 3.01-3.22
Dy: 0.8180 0.1820 0.2500  6 Ge 2.97-3.06, 3 Tc 3.01-3.22
Tc: 0.0000 0.0000 0.0000  6 Ge 2.61-2.65
Tc: 0.0000 0.0000 0.5000  6 Ge 2.61-2.65
Tc: 0.4599 0.5401 0.7500  6 Ge 2.45-2.62
Tc: 0.5401 0.4599 0.2500  6 Ge 2.45-2.62
Ge: 0.1346 0.8654 0.2500  4 Tc 2.45-2.65
Ge: 0.3813 0.6187 0.0324  4 Tc 2.59-2.62, 1 Ge 2.81
Ge: 0.3813 0.6187 0.4676  4 Tc 2.59-2.62, 1 Ge 2.81
Ge: 0.6187 0.3813 0.5324  4 Tc 2.59-2.62, 1 Ge 2.81
Ge: 0.6187 0.3813 0.9676  4 Tc 2.59-2.62, 1 Ge 2.81
Ge: 0.8654 0.1346 0.7500  4 Tc 2.45-2.65

Number 1: raw total energy -2.22 eV/atom, M_tot 0.00 μB per formula unit. Number 2: raw total energy -2.22 eV/atom, M_tot 2.52 μB per formula unit. Number 3: raw total energy -3.97 eV/atom, M_tot 0.00 μB per formula unit. Number 4: raw total energy -3.27 eV/atom, M_tot 0.00 μB per formula unit. Number 5: raw total energy -4.44 eV/atom, M_tot 0.00 μB per formula unit. Number 6: raw total energy -4.66 eV/atom, M_tot 0.89 μB per formula unit. Number 7: raw total energy -4.44 eV/atom, M_tot 0.00 μB per formula unit. Number 8: raw total energy -7.17 eV/atom, M_tot 0.00 μB per formula unit. Number 9: raw total energy -5.10 eV/atom, M_tot 0.00 μB per formula unit. Number 10: raw total energy -6.31 eV/atom, M_tot 0.00 μB per formula unit. Number 11: raw total energy -5.45 eV/atom, M_tot 0.00 μB per formula unit. Number 12: raw total energy -5.60 eV/atom, M_tot 0.00 μB per formula unit. Number 13: raw total energy -6.50 eV/atom, M_tot 0.00 μB per formula unit. Number 14: raw total energy -5.14 eV/atom, M_tot 0.00 μB per formula unit. Number 15: raw total energy -5.09 eV/atom, M_tot 0.80 μB per formula unit. Number 16: raw total energy -2.17 eV/atom, M_tot 0.00 μB per formula unit. Number 17: raw total energy -6.50 eV/atom, M_tot 5.66 μB per formula unit. Number 18: raw total energy -3.70 eV/atom, M_tot 0.00 μB per formula unit. Number 19: raw total energy -6.88 eV/atom, M_tot 0.00 μB per formula unit.